{
  "formula": "Cs2SeI2",
  "functional": "GGA-PBE",
  "state": "optimized geometry",
  "lattice_angstrom": [[9.1228, 0.0000, 0.0000], [0.0000, 9.1228, 0.0000], [0.0000, 0.0000, 5.5218]],
  "species": ["Cs", "Cs", "Cs", "Cs", "I", "I", "I", "I", "Se", "Se"],
  "fractional_positions": [[0.1525, 0.6525, 0.5000], [0.6525, 0.8475, 0.5000], [0.8475, 0.3475, 0.5000], [0.3475, 0.1525, 0.5000], [0.3315, 0.8315, 0.0000], [0.8315, 0.6685, 0.0000], [0.6685, 0.1685, 0.0000], [0.1685, 0.3315, 0.0000], [0.0000, 0.0000, 0.0000], [0.5000, 0.5000, 0.0000]],
  "magnetic_moment_mub_per_atom": 0.00,
  "formation_energy_uncorrected_ev_per_atom": -0.84,
  "final_energy_ry_per_atom": -0.184,
  "density_g_cm3": 4.33
}

---

{
  "formula": "Cs2SnSeI6",
  "functional": "GGA-PBE",
  "state": "optimized geometry",
  "lattice_angstrom": [[-1.4011, -5.0243, 6.7152], [7.9607, -2.9392, -0.5382], [5.2172, 0.5682, 6.8970]],
  "species": ["Cs", "Cs", "I", "I", "I", "I", "I", "I", "Sn", "Se"],
  "fractional_positions": [[0.7500, 0.2500, 0.5000], [0.2500, 0.7500, 0.5000], [0.2433, 0.2433, 0.5133], [0.7567, 0.7567, 0.4867], [0.2533, 0.2533, 0.0000], [0.7467, 0.7467, 0.0000], [0.7467, 0.2533, 0.0000], [0.2533, 0.7467, 0.0000], [0.0000, 0.0000, 0.0000], [0.5000, 0.5000, 0.0000]],
  "magnetic_moment_mub_per_atom": 0.00,
  "formation_energy_uncorrected_ev_per_atom": -0.73,
  "final_energy_ry_per_atom": -0.189,
  "density_g_cm3": 4.51
}

---

{
  "formula": "CsSrSeI",
  "functional": "GGA-PBE",
  "state": "optimized geometry",
  "lattice_angstrom": [[4.7133, -0.0004, -0.0003], [-2.3559, 4.0825, -0.0002], [-2.3561, -1.3609, 8.8878]],
  "species": ["Cs", "Sr", "Se", "I"],
  "fractional_positions": [[0.4918, 0.1437, 0.6509], [0.1094, 0.9527, 0.0774], [0.3355, 0.5657, 0.9165], [0.9412, 0.3687, 0.3249]],
  "magnetic_moment_mub_per_atom": 0.00,
  "formation_energy_uncorrected_ev_per_atom": -1.67,
  "final_energy_ry_per_atom": -0.262,
  "density_g_cm3": 4.14
}

---

{
  "formula": "Cs2SrSeI6",
  "functional": "GGA-PBE",
  "state": "optimized geometry",
  "lattice_angstrom": [[-1.7025, -8.1916, 1.7946], [2.2812, 1.3097, 8.1426], [-6.5034, -1.6744, 6.5875]],
  "species": ["Cs", "Cs", "I", "I", "I", "I", "I", "I", "Se", "Sr"],
  "fractional_positions": [[0.7500, 0.2500, 0.5000], [0.2500, 0.7500, 0.5000], [0.2214, 0.2214, 0.5572], [0.7786, 0.7786, 0.4428], [0.2698, 0.2698, 0.0000], [0.7302, 0.7302, 0.0000], [0.7302, 0.2698, 0.0000], [0.2698, 0.7302, 0.0000], [0.5000, 0.5000, 0.0000], [0.0000, 0.0000, 0.0000]],
  "magnetic_moment_mub_per_atom": 0.00,
  "formation_energy_uncorrected_ev_per_atom": -1.03,
  "final_energy_ry_per_atom": -0.194,
  "density_g_cm3": 3.76
}

---

{
  "formula": "Cs2TeSeI",
  "functional": "GGA-PBE",
  "state": "optimized geometry",
  "lattice_angstrom": [[7.0887, 0.0000, 0.0000], [0.0000, 7.0887, 0.0000], [0.0000, 0.0000, 5.3249]],
  "species": ["Cs", "Cs", "I", "Te", "Se"],
  "fractional_positions": [[0.0000, 0.5000, 0.0000], [0.5000, 0.0000, 0.0000], [0.5000, 0.5000, 0.5000], [0.0000, 0.0000, 0.5000], [0.0000, 0.0000, 0.0000]],
  "magnetic_moment_mub_per_atom": 0.02,
  "formation_energy_uncorrected_ev_per_atom": -0.89,
  "final_energy_ry_per_atom": -0.211,
  "density_g_cm3": 3.72
}

---

{
  "formula": "CsTe2SeI",
  "functional": "GGA-PBE",
  "state": "optimized geometry",
  "lattice_angstrom": [[5.6565, 0.0000, 0.0000], [0.0000, 5.6565, 0.0000], [0.0000, 0.0000, 6.1825]],
  "species": ["Cs", "I", "Te", "Te", "Se"],
  "fractional_positions": [[0.5000, 0.5000, 0.5000], [0.0000, 0.0000, 0.5000], [0.0000, 0.5000, 0.0000], [0.5000, 0.0000, 0.0000], [0.0000, 0.0000, 0.0000]],
  "magnetic_moment_mub_per_atom": 0.00,
  "formation_energy_uncorrected_ev_per_atom": -0.26,
  "final_energy_ry_per_atom": -0.198,
  "density_g_cm3": 4.99
}

---

{
  "formula": "CsTe2SeI",
  "functional": "GGA-PBE",
  "state": "optimized geometry",
  "lattice_angstrom": [[-7.1979, -0.5168, -1.7755], [1.3522, -6.3383, -3.6369], [-1.2225, -3.7270, 6.0409]],
  "species": ["Cs", "I", "Te", "Te", "Se"],
  "fractional_positions": [[0.0000, 0.0000, 0.0000], [0.0000, 0.0000, 0.5000], [0.0000, 0.5000, 0.0000], [0.5000, 0.0000, 0.0000], [0.5000, 0.5000, 0.5000]],
  "magnetic_moment_mub_per_atom": 1.20,
  "formation_energy_uncorrected_ev_per_atom": 0.86,
  "final_energy_ry_per_atom": -0.116,
  "density_g_cm3": 2.48
}

---

{
  "formula": "Cs2TiSeI6",
  "functional": "GGA-PBE",
  "state": "optimized geometry",
  "lattice_angstrom": [[9.0920, 0.0000, 0.0000], [0.0000, 9.0920, 0.0000], [4.5460, 4.5460, 5.5824]],
  "species": ["Cs", "Cs", "I", "I", "I", "I", "I", "I", "Se", "Ti"],
  "fractional_positions": [[0.7500, 0.2500, 0.5000], [0.2500, 0.7500, 0.5000], [0.2477, 0.2477, 0.5047], [0.7523, 0.7523, 0.4953], [0.2835, 0.2835, 0.0000], [0.7165, 0.7165, 0.0000], [0.7165, 0.2835, 0.0000], [0.2835, 0.7165, 0.0000], [0.0000, 0.0000, 0.0000], [0.5000, 0.5000, 0.0000]],
  "magnetic_moment_mub_per_atom": 0.00,
  "formation_energy_uncorrected_ev_per_atom": -0.80,
  "final_energy_ry_per_atom": -0.223,
  "density_g_cm3": 4.15
}

---

{
  "formula": "Cs2TlSeI",
  "functional": "GGA-PBE",
  "state": "optimized geometry",
  "lattice_angstrom": [[-2.7297, 0.7946, -6.3697], [1.2751, -6.7166, -1.3844], [-5.4902, -1.4890, 2.1671]],
  "species": ["Cs", "Cs", "I", "Tl", "Se"],
  "fractional_positions": [[0.0000, 0.5000, 0.0000], [0.5000, 0.0000, 0.0000], [0.5000, 0.5000, 0.5000], [0.0000, 0.0000, 0.5000], [0.0000, 0.0000, 0.0000]],
  "magnetic_moment_mub_per_atom": 0.00,
  "formation_energy_uncorrected_ev_per_atom": -0.89,
  "final_energy_ry_per_atom": -0.199,
  "density_g_cm3": 3.79
}

---

{
  "formula": "Cs2USe2I4",
  "functional": "GGA-PBE",
  "state": "optimized geometry",
  "lattice_angstrom": [[-3.3859, 2.5694, 5.5219], [-2.2994, -7.1994, 3.0320], [4.7626, -3.4640, 5.6242]],
  "species": ["Cs", "Cs", "U", "Se", "Se", "I", "I", "I", "I"],
  "fractional_positions": [[0.2228, 0.6651, 0.6651], [0.7772, 0.3349, 0.3349], [0.5000, 0.0000, 0.0000], [0.2433, 0.1437, 0.1437], [0.7567, 0.8563, 0.8563], [0.2825, 0.6529, 0.1587], [0.7175, 0.8413, 0.3471], [0.7175, 0.3471, 0.8413], [0.2825, 0.1587, 0.6529]],
  "magnetic_moment_mub_per_atom": 0.00,
  "formation_energy_uncorrected_ev_per_atom": -1.08,
  "final_energy_ry_per_atom": -0.293,
  "density_g_cm3": 4.79
}

---

{
  "formula": "CsYSeI2",
  "functional": "GGA-PBE",
  "state": "optimized geometry",
  "lattice_angstrom": [[-3.0282, 2.8901, -4.6085], [-5.1346, -3.2603, 1.3293], [-1.5728, 3.8939, 3.4754]],
  "species": ["Cs", "I", "I", "Y", "Se"],
  "fractional_positions": [[0.5000, 0.5000, 0.5000], [0.0000, 0.5000, 0.0000], [0.5000, 0.0000, 0.0000], [0.0000, 0.0000, 0.0000], [0.0000, 0.0000, 0.5000]],
  "magnetic_moment_mub_per_atom": 0.00,
  "formation_energy_uncorrected_ev_per_atom": -1.48,
  "final_energy_ry_per_atom": -0.313,
  "density_g_cm3": 4.36
}

---

{
  "formula": "Cs2YSeI6",
  "functional": "GGA-PBE",
  "state": "optimized geometry",
  "lattice_angstrom": [[-1.1401, 8.0443, -4.6731], [-5.1497, 3.3752, 7.0666], [1.6551, 7.8330, 3.6806]],
  "species": ["Cs", "Cs", "I", "I", "I", "I", "I", "I", "Y", "Se"],
  "fractional_positions": [[0.7500, 0.2500, 0.5000], [0.2500, 0.7500, 0.5000], [0.2656, 0.2656, 0.4688], [0.7344, 0.7344, 0.5312], [0.2266, 0.2266, 0.0000], [0.7734, 0.7734, 0.0000], [0.7734, 0.2266, 0.0000], [0.2266, 0.7734, 0.0000], [0.0000, 0.0000, 0.0000], [0.5000, 0.5000, 0.0000]],
  "magnetic_moment_mub_per_atom": 0.10,
  "formation_energy_uncorrected_ev_per_atom": -1.03,
  "final_energy_ry_per_atom": -0.230,
  "density_g_cm3": 3.89
}

---

Which formula does entry 6 have?
CsTe2SeI